No. 1
The following is a DFT calculation (PBE) of an optimized crystal structure of Zr2Ga2Co.

Unit cell a=6.522 b=6.522 c=4.092 alpha=90.00 beta=90.00 gamma=90.00
Atoms (fractional coordinates):
Zr 0.172 0.328 0.000
Zr 0.328 0.828 0.000
Zr 0.672 0.172 0.000
Zr 0.828 0.672 0.000
Ga 0.137 0.637 0.500
Ga 0.363 0.137 0.500
Ga 0.637 0.863 0.500
Ga 0.863 0.363 0.500
Co 0.000 0.000 0.500
Co 0.500 0.500 0.500

## Properties
The value obtained for the calculated total energy is -6.511 eV per atom. The total magnetic moment is 1.59 Bohr magnetons per cell. The calculated volume comes out at 17.41 Å³/atom. The energy of formation is -0.459 eV/atom. As for the polymorph energy (0 for the lowest one): 77.6 meV per atom.


No. 2
The following is a DFT calculation (PBE) of an optimized crystal structure of Ca2CdGeAu6.

Unit cell a=7.156 b=7.156 c=7.156 alpha=60.00 beta=60.00 gamma=60.00
Atoms (fractional coordinates):
Ca 0.250 0.250 0.250
Ca 0.750 0.750 0.750
Cd 0.000 0.000 0.000
Ge 0.500 0.500 0.500
Au 0.258 0.258 0.742
Au 0.258 0.742 0.258
Au 0.258 0.742 0.742
Au 0.742 0.258 0.258
Au 0.742 0.258 0.742
Au 0.742 0.742 0.258

## Properties
The value obtained for the calculated total energy is -3.070 eV per atom. The total magnetic moment is 0.00 Bohr magnetons per cell. The calculated volume comes out at 25.91 Å³/atom. The energy of formation is -0.150 eV/atom.


No. 3
The following is a DFT calculation (PBE) of an optimized crystal structure of Ac2La6Y.

Unit cell a=9.428 b=9.428 c=9.450 alpha=112.83 beta=112.83 gamma=66.71
Atoms (fractional coordinates):
Ac 0.004 0.179 0.172
Ac 0.179 0.004 0.672
Ac 0.821 0.996 0.328
Ac 0.996 0.821 0.828
La 0.081 0.589 0.421
La 0.173 0.349 0.006
La 0.349 0.173 0.506
La 0.350 0.485 0.832
La 0.411 0.919 0.079
La 0.485 0.350 0.332
La 0.515 0.650 0.668
La 0.589 0.081 0.921
La 0.650 0.515 0.168
La 0.651 0.827 0.494
La 0.827 0.651 0.994
La 0.919 0.411 0.579
Y 0.244 0.756 0.250
Y 0.756 0.244 0.750

## Properties
The value obtained for the calculated total energy is -4.853 eV per atom. The total magnetic moment is 0.00 Bohr magnetons per cell. The calculated volume comes out at 37.95 Å³/atom. The energy of formation is 0.063 eV/atom.


No. 4
The following is a DFT calculation (PBE) of an optimized crystal structure of K2Ba2Au.

Unit cell a=8.576 b=8.576 c=6.984 alpha=90.00 beta=90.00 gamma=90.00
Atoms (fractional coordinates):
K 0.154 0.346 0.000
K 0.346 0.846 0.000
K 0.654 0.154 0.000
K 0.846 0.654 0.000
Ba 0.184 0.684 0.500
Ba 0.316 0.184 0.500
Ba 0.684 0.816 0.500
Ba 0.816 0.316 0.500
Au 0.000 0.000 0.000
Au 0.500 0.500 0.000

## Properties
The value obtained for the calculated total energy is -1.787 eV per atom. The total magnetic moment is 0.00 Bohr magnetons per cell. The calculated volume comes out at 51.37 Å³/atom. The energy of formation is 0.076 eV/atom. As for the polymorph energy (0 for the lowest one): 379.0 meV per atom.


No. 5
The following is a DFT calculation (PBE) of an optimized crystal structure of TiSn2SbO.

Unit cell a=5.702 b=5.702 c=3.696 alpha=90.00 beta=90.00 gamma=90.00
Atoms (fractional coordinates):
Ti 0.000 0.000 0.000
Sn 0.000 0.500 0.000
Sn 0.500 0.000 0.000
Sb 0.500 0.500 0.500
O 0.000 0.000 0.500

## Properties
The value obtained for the calculated total energy is -5.577 eV per atom. The total magnetic moment is 0.00 Bohr magnetons per cell. The calculated volume comes out at 24.03 Å³/atom. As for the formation energy without anion corrections: -581 meV per atom.


No. 6
The following is a DFT calculation (PBE) of an optimized crystal structure of TaTi2AuC.

Unit cell a=4.195 b=4.195 c=4.280 alpha=90.00 beta=90.00 gamma=90.00
Atoms (fractional coordinates):
Ta 0.000 0.000 0.000
Ti 0.000 0.500 0.500
Ti 0.500 0.000 0.500
Au 0.500 0.500 0.000
C 0.000 0.000 0.500

## Properties
The value obtained for the calculated total energy is -8.514 eV per atom. The total magnetic moment is 0.52 Bohr magnetons per cell. The calculated volume comes out at 15.06 Å³/atom. The energy of formation is -0.485 eV/atom.